{
  "formula": "Zn2CrRu",
  "functional": "PBEsol",
  "state": "relaxed",
  "volume_a3_per_cell": 51.9,
  "de_polymorph_mev_per_atom": 0,
  "e_tot_ev_per_cell": -23.58,
  "magnetic_moment_mub_per_atom": 0.000,
  "sg": "No. 99",
  "e_form_mev_per_atom": 0,
  "lattice_angstrom": [[-2.650, -0.972, -0.360], [0.027, -1.053, 2.643], [-2.336, 5.543, 2.233]],
  "species": ["Zn", "Cr", "Zn", "Ru"],
  "fractional_positions": [[0.500, 0.500, 0.259], [0.000, 0.000, 0.517], [0.000, 0.000, 0.998], [0.500, 0.500, 0.726]]
}